(1)
This record from Alexandria describes crystalline Cu3GeO6 at its relaxed geometry. The functional is GGA-PBE.

```
20
Lattice="-4.711 -3.578 0.205 1.666 -2.529 -5.085 3.147 -4.017 2.998" Properties=species:S:1:pos:R:3 pbc="T T T"
Cu -1.674 -6.984 -2.306
Cu 0.088 -7.515 0.644
Cu -1.700 -3.179 0.443
Cu 0.014 -2.609 -2.527
Cu 1.803 -6.946 -2.326
Cu 1.776 -3.140 0.423
O 1.303 -3.702 -1.448
O 0.280 -3.687 -4.454
O -0.178 -6.437 2.571
O 3.385 -5.424 -2.685
O 1.342 -6.393 -0.455
O 3.135 -4.712 1.216
O -1.239 -3.732 -1.427
O 0.049 -6.005 -2.609
O -1.200 -6.422 -0.435
O 0.054 -4.119 0.727
O -3.032 -5.412 -3.098
O -3.282 -4.700 0.802
Ge 0.051 -5.062 -0.941
Ge 0.000 0.000 0.000
```

Computed properties:
The value obtained for the total magnetic moment is 0.0002 μB/atom. Its symmetry is No. 148. Its final energy is -0.19782 Ha/atom. Its formation energy (no corrections) is -0.717 eV/atom. The calculation puts the density of states at the Fermi level at 6.345 states/eV/f.u.

(2)
This record from Alexandria describes crystalline YZrAl2 at its relaxed geometry. The functional is GGA-PBE.

```
4
Lattice="-2.957 1.309 3.994 -4.161 -1.601 -2.555 0.373 -2.954 1.244" Properties=species:S:1:pos:R:3 pbc="T T T"
Al -3.559 -0.146 0.719
Al 0.000 0.000 0.000
Y -1.292 -0.822 2.619
Zr -1.894 -2.278 -0.656
```

Computed properties:
The value obtained for the total magnetic moment is 0.0000 μB/atom. Its symmetry is No. 123. The formation energy comes out at -0.312 eV per atom. Its final energy is -0.21816 Ha/atom. For the energy above the most stable polymorph in this dataset, the calculation gives 79 meV per atom. The calculation puts the density of states at the Fermi level at 2.724 states/eV/f.u.

(3)
This record from Alexandria describes crystalline Rb4Hg10Pd3 at its relaxed geometry. The functional is GGA-PBE.

```
17
Lattice="5.367 0.000 -0.729 -0.099 5.366 -0.729 0.017 0.018 20.253" Properties=species:S:1:pos:R:3 pbc="T T T"
Hg 4.924 5.015 16.133
Hg 4.610 1.963 13.827
Hg 1.877 4.646 13.827
Hg 2.683 0.000 -0.364
Hg 0.362 0.368 2.663
Hg 1.093 1.114 8.051
Hg 0.675 3.421 4.969
Hg 4.192 4.270 10.745
Hg 3.408 0.738 4.969
Hg -0.049 2.683 -0.364
Rb 1.583 1.612 11.655
Rb 2.994 3.049 1.920
Rb 3.702 3.771 7.141
Rb 2.292 2.334 16.876
Pd 4.561 4.646 13.464
Pd 0.000 0.000 0.000
Pd 0.724 0.738 5.332
```

Computed properties:
The value obtained for the total magnetic moment is 0.0000 μB/atom. Its symmetry is No. 139. The formation energy comes out at -0.244 eV per atom. Its final energy is -0.05755 Ha/atom. The calculation puts the density of states at the Fermi level at 6.247 states/eV/f.u.

(4)
This record from Alexandria describes crystalline HfP2PdO at its relaxed geometry. The functional is GGA-PBE.

```
5
Lattice="4.640 0.000 0.000 0.000 4.640 0.000 0.000 0.000 3.901" Properties=species:S:1:pos:R:3 pbc="T T T"
O 0.000 0.000 1.951
Pd 0.000 0.000 0.000
P 2.320 0.000 0.000
P 0.000 2.320 0.000
Hf 2.320 2.320 1.951
```

Computed properties:
The value obtained for the total magnetic moment is 0.0006 μB/atom. Its symmetry is No. 123. Its final energy is -0.22434 Ha/atom. For the energy above the most stable polymorph in this dataset, the calculation gives 384 meV per atom. Its formation energy (no corrections) is 0.080 eV/atom. The calculation puts the density of states at the Fermi level at 5.046 states/eV/f.u.

(5)
This record from Alexandria describes crystalline Ba2ICl2 at its relaxed geometry. The functional is GGA-PBE.

```
10
Lattice="-3.125 -7.567 -4.389 -0.870 -4.369 8.151 -3.760 1.362 0.329" Properties=species:S:1:pos:R:3 pbc="T T T"
I -1.998 -5.968 1.881
I 0.000 0.000 0.000
Cl -3.146 -2.681 -0.380
Cl -4.609 -7.892 4.471
Cl -4.915 -7.500 -0.644
Cl -2.841 -3.074 4.735
Ba -1.783 -6.211 5.345
Ba -0.802 -2.705 2.036
Ba -2.212 -5.724 -1.583
Ba -3.194 -9.231 1.726
```

Computed properties:
The value obtained for the total magnetic moment is 0.0636 μB/atom. Its symmetry is No. 127. Its final energy is -0.13663 Ha/atom. For the energy above the most stable polymorph in this dataset, the calculation gives 14 meV per atom. Its formation energy (no corrections) is -1.900 eV/atom. The calculation puts the density of states at the Fermi level at 1.991 states/eV/f.u.

(6)
This record from Alexandria describes crystalline Ca4Ni at its relaxed geometry. The functional is GGA-PBE.

```
5
Lattice="-3.380 0.695 4.382 -2.224 -5.032 -0.918 3.839 -2.303 3.326" Properties=species:S:1:pos:R:3 pbc="T T T"
Ca -2.802 -2.169 1.732
Ca 0.000 0.000 0.000
Ca 0.808 -3.668 1.204
Ca 0.230 -0.804 3.854
Ni -0.882 -3.320 3.395
```

Computed properties:
The value obtained for the total magnetic moment is 0.0000 μB/atom. Its symmetry is No. 221. The formation energy comes out at -0.044 eV per atom. Its final energy is -0.10295 Ha/atom. For the energy above the most stable polymorph in this dataset, the calculation gives 0 meV per atom. The calculation puts the density of states at the Fermi level at 3.944 states/eV/f.u.